[1]
# NaThBr4 | the Alexandria database | PBE | relaxed
data_NaThBr4
_chemical_formula_sum 'Na2 Th2 Br8'
_cell_length_a 7.751
_cell_length_b 7.751
_cell_length_c 8.733
_cell_angle_alpha 90.00
_cell_angle_beta 90.00
_cell_angle_gamma 90.00
_symmetry_space_group_name_H-M 'I -4'
_symmetry_Int_Tables_number 82
_symmetry_space_group_name_Hall 'I -4'
loop_
_atom_site_label
_atom_site_fract_x
_atom_site_fract_y
_atom_site_fract_z
Na1 0.000 0.000 0.000
Th1 0.000 0.500 0.750
Br1 0.233 0.745 0.868
# * uncorrected formation energy: -1331.4 meV per atom
# * density of states at the Fermi level: 0.254 states/eV per atom
# * calculated volume: 43.7 A^3/atom
# * total moment: 1.99 Bohr magnetons per cell
# * electronic total energy: -3.903 eV per atom



[2]
# NaThBr6 | the Alexandria database | PBE | relaxed
data_NaThBr6
_chemical_formula_sum 'Na4 Th4 Br24'
_cell_length_a 11.635
_cell_length_b 11.635
_cell_length_c 11.635
_cell_angle_alpha 90.00
_cell_angle_beta 90.00
_cell_angle_gamma 90.00
_symmetry_space_group_name_H-M 'F m -3 m'
_symmetry_Int_Tables_number 225
_symmetry_space_group_name_Hall '-F 4 2 3'
loop_
_atom_site_label
_atom_site_fract_x
_atom_site_fract_y
_atom_site_fract_z
Na1 0.000 0.000 0.000
Th1 0.000 0.000 0.500
Br1 0.000 0.000 0.256
# * uncorrected formation energy: -1337.8 meV per atom
# * density of states at the Fermi level: 1.651 states/eV per atom
# * calculated volume: 49.2 A^3/atom
# * total moment: 0.25 Bohr magnetons per cell
# * electronic total energy: -3.685 eV per atom



[3]
# NaThBr6 | the Alexandria database | PBE | relaxed
data_NaThBr6
_chemical_formula_sum 'Na2 Th2 Br12'
_cell_length_a 7.327
_cell_length_b 13.088
_cell_length_c 7.281
_cell_angle_alpha 90.00
_cell_angle_beta 107.56
_cell_angle_gamma 90.00
_symmetry_space_group_name_H-M 'C 1 2/m 1'
_symmetry_Int_Tables_number 12
_symmetry_space_group_name_Hall '-C 2y'
loop_
_atom_site_label
_atom_site_fract_x
_atom_site_fract_y
_atom_site_fract_z
Na1 0.000 0.000 0.000
Th1 0.000 0.500 0.500
Br1 0.235 0.349 0.740
Br2 0.243 0.500 0.261
# * uncorrected formation energy: -1348.2 meV per atom
# * density of states at the Fermi level: 1.477 states/eV per atom
# * calculated volume: 41.6 A^3/atom
# * total moment: 2.21 Bohr magnetons per cell
# * electronic total energy: -3.695 eV per atom



[4]
# Na2ThTlBr8 | the Alexandria database | PBE | relaxed
data_Na2ThTlBr8
_chemical_formula_sum 'Na2 Th1 Tl1 Br8'
_cell_length_a 6.196
_cell_length_b 7.350
_cell_length_c 9.751
_cell_angle_alpha 90.01
_cell_angle_beta 90.08
_cell_angle_gamma 91.24
_symmetry_space_group_name_H-M 'P -1'
_symmetry_Int_Tables_number 2
_symmetry_space_group_name_Hall '-P 1'
loop_
_atom_site_label
_atom_site_fract_x
_atom_site_fract_y
_atom_site_fract_z
Na1 0.000 0.000 0.234
Th1 0.500 0.500 0.000
Tl1 0.500 0.500 0.500
Br1 0.248 0.170 0.000
Br2 0.251 0.650 0.783
Br3 0.252 0.651 0.216
Br4 0.254 0.025 0.500
# * uncorrected formation energy: -1343.4 meV per atom
# * density of states at the Fermi level: 0.131 states/eV per atom
# * calculated volume: 37.0 A^3/atom
# * total moment: 0.20 Bohr magnetons per cell
# * electronic total energy: -3.494 eV per atom



[5]
# NaThTlBr6 | the Alexandria database | PBE | relaxed
data_NaThTlBr6
_chemical_formula_sum 'Na2 Th2 Tl2 Br12'
_cell_length_a 7.6319
_cell_length_b 7.6319
_cell_length_c 14.2797
_cell_angle_alpha 90.00
_cell_angle_beta 90.00
_cell_angle_gamma 120.00
_symmetry_space_group_name_H-M 'P -3 1 c'
_symmetry_Int_Tables_number 163
_symmetry_space_group_name_Hall '-P 3 2c'
loop_
_atom_site_label
_atom_site_fract_x
_atom_site_fract_y
_atom_site_fract_z
Na1 0.3333 0.6667 0.2500
Th1 0.3333 0.6667 0.7500
Tl1 0.0000 0.0000 0.0000
Br1 0.0161 0.3722 0.6350
# * uncorrected formation energy: -1526.6 meV per atom
# * density of states at the Fermi level: 0.000 states/eV per atom
# * calculated volume: 40.0 A^3/atom
# * total moment: 0.00 Bohr magnetons per cell
# * electronic total energy: -3.876 eV per atom



[6]
# NaTiBr2 | the Alexandria database | PBE | relaxed
data_NaTiBr2
_chemical_formula_sum 'Na4 Ti4 Br8'
_cell_length_a 6.752
_cell_length_b 6.752
_cell_length_c 11.097
_cell_angle_alpha 90.00
_cell_angle_beta 90.00
_cell_angle_gamma 90.00
_symmetry_space_group_name_H-M 'I -4 2 d'
_symmetry_Int_Tables_number 122
_symmetry_space_group_name_Hall 'I -4 2bw'
loop_
_atom_site_label
_atom_site_fract_x
_atom_site_fract_y
_atom_site_fract_z
Na1 0.000 0.000 0.000
Ti1 0.000 0.000 0.500
Br1 0.223 0.250 0.625
# * uncorrected formation energy: -615.4 meV per atom
# * density of states at the Fermi level: 0.709 states/eV per atom
# * calculated volume: 31.6 A^3/atom
# * total moment: 11.73 Bohr magnetons per cell
# * electronic total energy: -3.755 eV per atom



[7]
# NaTi4Br7 | the Alexandria database | PBE | relaxed
data_NaTi4Br7
_chemical_formula_sum 'Na2 Ti8 Br14'
_cell_length_a 4.778
_cell_length_b 18.849
_cell_length_c 7.922
_cell_angle_alpha 90.00
_cell_angle_beta 90.00
_cell_angle_gamma 90.00
_symmetry_space_group_name_H-M 'P m m n'
_symmetry_Int_Tables_number 59
loop_
_symmetry_equiv_pos_as_xyz
'x,y,z'
'-x,-y,-z'
'-x+1/2,-y+1/2,z'
'x+1/2,y+1/2,-z'
'x+1/2,-y,-z'
'-x+1/2,y,z'
'-x,y+1/2,-z'
'x,-y+1/2,z'
loop_
_atom_site_label
_atom_site_fract_x
_atom_site_fract_y
_atom_site_fract_z
Na1 0.250 0.250 0.012
Ti1 0.250 0.508 0.908
Ti2 0.250 0.607 0.156
Br1 0.250 0.026 0.241
Br2 0.250 0.107 0.704
Br3 0.250 0.651 0.849
Br4 0.250 0.750 0.242
# * uncorrected formation energy: -876.2 meV per atom
# * density of states at the Fermi level: 0.646 states/eV per atom
# * calculated volume: 29.7 A^3/atom
# * total moment: 4.06 Bohr magnetons per cell
# * electronic total energy: -4.594 eV per atom



[8]
# NaTiBr2 | the Alexandria database | PBE | relaxed
data_NaTiBr2
_chemical_formula_sum 'Na3 Ti3 Br6'
_cell_length_a 3.6927
_cell_length_b 3.6927
_cell_length_c 30.1775
_cell_angle_alpha 90.00
_cell_angle_beta 90.00
_cell_angle_gamma 120.00
_symmetry_space_group_name_H-M 'R -3 m'
_symmetry_Int_Tables_number 166
_symmetry_space_group_name_Hall '-R 3 2"'
loop_
_atom_site_label
_atom_site_fract_x
_atom_site_fract_y
_atom_site_fract_z
Na1 0.0000 0.0000 0.0000
Ti1 0.0000 0.0000 0.5000
Br1 0.0000 0.0000 0.1124
# * uncorrected formation energy: -733.6 meV per atom
# * density of states at the Fermi level: 0.667 states/eV per atom
# * calculated volume: 29.7 A^3/atom
# * total moment: 5.80 Bohr magnetons per cell
# * electronic total energy: -3.874 eV per atom



[9]
# NaTiBr2 | the Alexandria database | PBE | relaxed
data_NaTiBr2
_chemical_formula_sum 'Na3 Ti3 Br6'
_cell_length_a 3.8454
_cell_length_b 3.8454
_cell_length_c 26.2095
_cell_angle_alpha 90.00
_cell_angle_beta 90.00
_cell_angle_gamma 120.00
_symmetry_space_group_name_H-M 'R -3 m'
_symmetry_Int_Tables_number 166
_symmetry_space_group_name_Hall '-R 3 2"'
loop_
_atom_site_label
_atom_site_fract_x
_atom_site_fract_y
_atom_site_fract_z
Na1 0.0000 0.0000 0.0000
Ti1 0.0000 0.0000 0.5000
Br1 0.0000 0.0000 0.4035
# * uncorrected formation energy: -633.6 meV per atom
# * density of states at the Fermi level: 0.957 states/eV per atom
# * calculated volume: 28.0 A^3/atom
# * total moment: 6.52 Bohr magnetons per cell
# * electronic total energy: -3.774 eV per atom



[10]
# Na2TiBr | the Alexandria database | PBE | relaxed
data_Na2TiBr
_chemical_formula_sum 'Na8 Ti4 Br4'
_cell_length_a 9.711
_cell_length_b 9.711
_cell_length_c 5.211
_cell_angle_alpha 90.00
_cell_angle_beta 90.00
_cell_angle_gamma 90.00
_symmetry_space_group_name_H-M 'I -4 2 d'
_symmetry_Int_Tables_number 122
_symmetry_space_group_name_Hall 'I -4 2bw'
loop_
_atom_site_label
_atom_site_fract_x
_atom_site_fract_y
_atom_site_fract_z
Na1 0.162 0.250 0.125
Ti1 0.000 0.000 0.500
Br1 0.000 0.000 0.000
# * uncorrected formation energy: 180.7 meV per atom
# * density of states at the Fermi level: 1.056 states/eV per atom
# * calculated volume: 30.7 A^3/atom
# * total moment: 11.17 Bohr magnetons per cell
# * electronic total energy: -2.871 eV per atom



[11]
# NaTiBr5 | the Alexandria database | PBE | relaxed
data_NaTiBr5
_chemical_formula_sum 'Na4 Ti4 Br20'
_cell_length_a 11.891
_cell_length_b 8.211
_cell_length_c 10.081
_cell_angle_alpha 90.00
_cell_angle_beta 113.97
_cell_angle_gamma 90.00
_symmetry_space_group_name_H-M 'C 1 2/c 1'
_symmetry_Int_Tables_number 15
_symmetry_space_group_name_Hall '-C 2yc'
loop_
_atom_site_label
_atom_site_fract_x
_atom_site_fract_y
_atom_site_fract_z
Na1 0.000 0.030 0.250
Ti1 0.000 0.500 0.000
Br1 0.000 0.393 0.250
Br2 0.080 0.226 0.976
Br3 0.212 0.401 0.629
# * uncorrected formation energy: -1179.5 meV per atom
# * calculated volume: 32.1 A^3/atom
# * total moment: 0.00 Bohr magnetons per cell
# * electronic total energy: -3.691 eV per atom